Entry from the Alexandria database: a relaxed KTa2SiH crystal (GGA-PBEsol).

Properties
Its total magnetization is 2.67 μB per cell. Its total energy is -26.67 eV per formula unit.

Cell and atoms, written as POSCAR:
```
KTa2SiH
1.0
4.7936 0.0000 0.0000
0.0000 4.7936 0.0000
0.0000 0.0000 5.1190
K Ta Si H
1 2 1 1
direct
0.0000 0.0000 0.0000
0.0000 0.5000 0.5000
0.5000 0.0000 0.5000
0.5000 0.5000 0.5000
0.5000 0.5000 0.0000
```


Entry from the Alexandria database: a relaxed Rb3LiBe crystal (GGA-PBEsol).

Properties
Its total magnetization is 0.00 μB per cell. For the formation energy, the calculation gives 0.8396 eV per atom.

Cell and atoms, written as POSCAR:
```
Rb3LiBe
1.0
6.8064 0.0000 0.0000
0.0000 6.8064 0.0000
0.0000 0.0000 6.8064
Rb Li Be
3 1 1
direct
0.0000 0.0000 0.5000
0.0000 0.5000 0.0000
0.5000 0.0000 0.0000
0.0000 0.0000 0.0000
0.5000 0.5000 0.5000
```


> Among the records above, which one has the lowest total magnetization?

Rb3LiBe